# VAs, relaxed, DFT GGA-PBE
data_VAs
_cell_length_a 9.156
_cell_length_b 9.156
_cell_length_c 3.203
_cell_angle_alpha 90.00
_cell_angle_beta 90.00
_cell_angle_gamma 90.00
_symmetry_space_group_name_H-M 'I 4/m'
_symmetry_Int_Tables_number 87
_symmetry_space_group_name_Hall '-I 4'
loop_
_atom_site_label
_atom_site_type_symbol
_atom_site_fract_x
_atom_site_fract_y
_atom_site_fract_z
_atom_site_occupancy
V1 V 0.114 0.620 0.000 1
As1 As 0.093 0.186 0.000 1
# Total energy, hartree per atom: -0.25412

# Na6NpI12, relaxed, DFT GGA-PBE
data_Na6NpI12
_cell_length_a 14.2501
_cell_length_b 14.2501
_cell_length_c 13.9491
_cell_angle_alpha 90.00
_cell_angle_beta 90.00
_cell_angle_gamma 120.00
_symmetry_space_group_name_H-M 'R -3'
_symmetry_Int_Tables_number 148
_symmetry_space_group_name_Hall '-R 3'
loop_
_atom_site_label
_atom_site_type_symbol
_atom_site_fract_x
_atom_site_fract_y
_atom_site_fract_z
_atom_site_occupancy
Na1 Na 0.0064 0.2272 0.3952 1
Np1 Np 0.0000 0.0000 0.0000 1
I1 I 0.0058 0.2191 0.6218 1
I2 I 0.0147 0.8438 0.8789 1
# E_form (uncorrected), meV per atom: -937

# CuICl, relaxed, DFT GGA-PBE
data_CuICl
_cell_length_a 15.463
_cell_length_b 3.866
_cell_length_c 6.310
_cell_angle_alpha 90.00
_cell_angle_beta 106.58
_cell_angle_gamma 90.00
_symmetry_space_group_name_H-M 'C 1 2/m 1'
_symmetry_Int_Tables_number 12
loop_
_symmetry_equiv_pos_as_xyz
'x,y,z'
'-x,-y,-z'
'-x,y,-z'
'x,-y,z'
'x+1/2,y+1/2,z'
'-x+1/2,-y+1/2,-z'
'-x+1/2,y+1/2,-z'
'x+1/2,-y+1/2,z'
loop_
_atom_site_label
_atom_site_type_symbol
_atom_site_fract_x
_atom_site_fract_y
_atom_site_fract_z
_atom_site_occupancy
Cu1 Cu 0.177 0.000 0.346 1
I1 I 0.007 0.000 0.256 1
Cl1 Cl 0.242 0.500 0.259 1
# Energy above the most stable polymorph in this dataset, eV per formula unit: 0.05
# E_form (uncorrected), meV per atom: -294

# La5Co2Pt, relaxed, DFT GGA-PBE
data_La5Co2Pt
_cell_length_a 7.568
_cell_length_b 7.568
_cell_length_c 14.296
_cell_angle_alpha 90.00
_cell_angle_beta 90.00
_cell_angle_gamma 90.00
_symmetry_space_group_name_H-M 'I 4/m c m'
_symmetry_Int_Tables_number 140
_symmetry_space_group_name_Hall '-I 4 2c'
loop_
_atom_site_label
_atom_site_type_symbol
_atom_site_fract_x
_atom_site_fract_y
_atom_site_fract_z
_atom_site_occupancy
La1 La 0.000 0.000 0.000 1
La2 La 0.171 0.329 0.136 1
Co1 Co 0.128 0.372 0.500 1
Pt1 Pt 0.000 0.000 0.250 1
# Total energy, hartree per atom: -0.21979

# Be2MoIr2, relaxed, DFT GGA-PBE
data_Be2MoIr2
_cell_length_a 6.611
_cell_length_b 6.611
_cell_length_c 2.769
_cell_angle_alpha 90.00
_cell_angle_beta 90.00
_cell_angle_gamma 90.00
_symmetry_space_group_name_H-M 'P 4/m b m'
_symmetry_Int_Tables_number 127
_symmetry_space_group_name_Hall '-P 4 2ab'
loop_
_atom_site_label
_atom_site_type_symbol
_atom_site_fract_x
_atom_site_fract_y
_atom_site_fract_z
_atom_site_occupancy
Be1 Be 0.124 0.376 0.000 1
Mo1 Mo 0.000 0.000 0.000 1
Ir1 Ir 0.169 0.669 0.500 1
# Energy above the most stable polymorph in this dataset, eV per formula unit: 0.00

# CrSiRu, relaxed, DFT GGA-PBE
data_CrSiRu
_cell_length_a 2.849
_cell_length_b 2.849
_cell_length_c 9.125
_cell_angle_alpha 90.00
_cell_angle_beta 90.00
_cell_angle_gamma 90.00
_symmetry_space_group_name_H-M 'I 4 m m'
_symmetry_Int_Tables_number 107
_symmetry_space_group_name_Hall 'I 4 -2'
loop_
_atom_site_label
_atom_site_type_symbol
_atom_site_fract_x
_atom_site_fract_y
_atom_site_fract_z
_atom_site_occupancy
Cr1 Cr 0.000 0.000 0.000 1
Si1 Si 0.000 0.000 0.656 1
Ru1 Ru 0.000 0.000 0.319 1
# E_form (uncorrected), meV per atom: -321